# 1
# ErBr2

Crystalline ErBr2 at its relaxed geometry (PBE, the Open Quantum Materials Database).

Results
Electronic total energy   -4.17 eV/atom
Magnetic moment   0.0 Bohr magnetons per cell
Calculated density   6.329 g/cm³

Lattice parameters (Å, degrees): 3.8013 3.8013 13.7178 90.00 90.00 120.00
Fractional positions:
Er 0.3333 0.6667 0.0000
Er 0.6667 0.3333 0.5000
Br 0.0000 0.0000 0.3681
Br 0.0000 0.0000 0.8681
Br 0.3333 0.6667 0.6319
Br 0.6667 0.3333 0.1319

***

# 2
# AsAu15

Crystalline AsAu15 at its relaxed geometry (PBE, the Open Quantum Materials Database).

Results
Electronic total energy   -3.28 eV/atom
Energy above the lowest structure with this stoichiometry   0.24 eV per formula unit
Calculated density   13.995 g/cm³

Lattice parameters (Å, degrees): 4.0615 43.6669 4.0534 90.00 90.10 90.00
Fractional positions:
As 0.0000 0.1301 0.2500
As 0.0000 0.8699 0.7500
Au 0.0000 0.1792 0.7500
Au 0.0000 0.2285 0.2500
Au 0.0000 0.2785 0.7500
Au 0.0000 0.3276 0.2500
Au 0.0000 0.3769 0.7500
Au 0.0000 0.4261 0.2500
Au 0.0000 0.4754 0.7500
Au 0.0000 0.5246 0.2500
Au 0.0000 0.5739 0.7500
Au 0.0000 0.6231 0.2500
Au 0.0000 0.6724 0.7500
Au 0.0000 0.7215 0.2500
Au 0.0000 0.7715 0.7500
Au 0.0000 0.8208 0.2500
Au 0.5000 0.1289 0.7500
Au 0.5000 0.1794 0.2500
Au 0.5000 0.2298 0.7500
Au 0.5000 0.2786 0.2500
Au 0.5000 0.3279 0.7500
Au 0.5000 0.3770 0.2500
Au 0.5000 0.4261 0.7500
Au 0.5000 0.4755 0.2500
Au 0.5000 0.5245 0.7500
Au 0.5000 0.5739 0.2500
Au 0.5000 0.6230 0.7500
Au 0.5000 0.6721 0.2500
Au 0.5000 0.7214 0.7500
Au 0.5000 0.7702 0.2500
Au 0.5000 0.8206 0.7500
Au 0.5000 0.8711 0.2500

***

# 3
# DyYTlNi2

Crystalline DyYTlNi2 at its relaxed geometry (PBE, the Open Quantum Materials Database).

Results
Electronic total energy   -5.39 eV/atom
Magnetic moment   0.0 Bohr magnetons per cell
Calculated density   9.318 g/cm³

Lattice parameters (Å, degrees): 3.6672 7.4663 7.4663 29.98 90.00 90.00
Fractional positions:
Dy 0.0000 0.0000 0.0000
Y 0.0000 0.2794 0.2794
Tl 0.5000 0.6398 0.6398
Ni 0.5000 0.4393 0.4393
Ni 0.5000 0.8405 0.8405

***

# 4
# NdTmNO

Crystalline NdTmNO at its relaxed geometry (PBE, the Open Quantum Materials Database).

Results
Electronic total energy   -7.75 eV/atom
Magnetic moment   0.1 Bohr magnetons per cell
Energy above the lowest structure with this stoichiometry   0.22 eV per formula unit
Calculated density   8.153 g/cm³

Lattice parameters (Å, degrees): 4.0573 6.9130 4.9842 90.00 90.00 90.00
Fractional positions:
Nd 0.0000 0.1618 0.0000
Nd 0.0000 0.8382 0.5000
Tm 0.5000 0.3265 0.5016
Tm 0.5000 0.6735 0.0016
N 0.0000 0.1895 0.5010
N 0.0000 0.8105 0.0010
O 0.5000 0.3551 0.9952
O 0.5000 0.6449 0.4952

***

# 5
# DyErTm2In2

Crystalline DyErTm2In2 at its relaxed geometry (PBE, the Open Quantum Materials Database).

Results
Electronic total energy   -4.28 eV/atom
Magnetic moment   0.4 Bohr magnetons per cell
Calculated density   9.054 g/cm³

Lattice parameters (Å, degrees): 5.3373 5.3373 6.6702 90.00 90.00 120.00
Fractional positions:
Dy 0.0000 0.0000 0.0000
Er 0.0000 0.0000 0.5000
Tm 0.3333 0.6667 0.2502
Tm 0.6667 0.3333 0.7498
In 0.3333 0.6667 0.7499
In 0.6667 0.3333 0.2501

***

# 6
# HfTaCoSn

Crystalline HfTaCoSn at its relaxed geometry (PBE, the Open Quantum Materials Database).

Results
Electronic total energy   -8.02 eV/atom
Magnetic moment   2.3 Bohr magnetons per cell
Energy above the lowest structure with this stoichiometry   0.00 eV per formula unit
Calculated density   12.456 g/cm³

Lattice parameters (Å, degrees): 4.6609 4.6609 4.6609 60.00 60.00 60.00
Fractional positions:
Hf 0.0000 0.0000 0.0000
Ta 0.2500 0.2500 0.2500
Co 0.7500 0.7500 0.7500
Sn 0.5000 0.5000 0.5000

***

# 7
# AlFe2B

Crystalline AlFe2B at its relaxed geometry (PBE, the Open Quantum Materials Database).

Results
Electronic total energy   -6.91 eV/atom
Magnetic moment   5.2 Bohr magnetons per cell
Calculated density   6.358 g/cm³

Lattice parameters (Å, degrees): 5.3852 5.3852 5.3852 90.00 90.00 90.00
Fractional positions:
Al 0.0000 0.0000 0.0000
Al 0.0000 0.0000 0.5000
Al 0.0000 0.5000 0.0000
Al 0.5000 0.0000 0.0000
Fe 0.2730 0.2730 0.2730
Fe 0.2730 0.2730 0.7270
Fe 0.2730 0.7270 0.2730
Fe 0.2730 0.7270 0.7270
Fe 0.7270 0.2730 0.2730
Fe 0.7270 0.2730 0.7270
Fe 0.7270 0.7270 0.2730
Fe 0.7270 0.7270 0.7270
B 0.0000 0.5000 0.5000
B 0.5000 0.0000 0.5000
B 0.5000 0.5000 0.0000
B 0.5000 0.5000 0.5000

***

# 8
# AgPdNO

Crystalline AgPdNO at its relaxed geometry (PBE, the Open Quantum Materials Database).

Results
Electronic total energy   -4.83 eV/atom
Energy above the lowest structure with this stoichiometry   0.00 eV per formula unit
Calculated density   7.971 g/cm³

Lattice parameters (Å, degrees): 3.1558 4.7019 6.8596 90.00 90.00 90.00
Fractional positions:
Ag 0.0000 0.0618 0.0000
Ag 0.0000 0.9382 0.5000
Pd 0.5000 0.4951 0.1576
Pd 0.5000 0.5049 0.6576
N 0.0000 0.2541 0.7291
N 0.0000 0.7459 0.2291
O 0.5000 0.2808 0.4039
O 0.5000 0.7192 0.9039

***

# 9
# Pm7AlI12

Crystalline Pm7AlI12 at its relaxed geometry (PBE, the Open Quantum Materials Database).

Results
Electronic total energy   -4.00 eV/atom
Magnetic moment   0.0 Bohr magnetons per cell
Calculated density   5.304 g/cm³

Lattice parameters (Å, degrees): 9.9560 9.9560 9.9560 107.81 107.81 107.81
Fractional positions:
Pm 0.0000 0.0000 0.0000
Pm 0.1801 0.4654 0.3939
Pm 0.3939 0.1801 0.4654
Pm 0.4654 0.3939 0.1801
Pm 0.5346 0.6061 0.8199
Pm 0.6061 0.8199 0.5346
Pm 0.8199 0.5346 0.6061
Al 0.5000 0.5000 0.5000
I 0.0291 0.1091 0.3441
I 0.1091 0.3441 0.0291
I 0.1875 0.5778 0.7313
I 0.2687 0.8125 0.4222
I 0.3441 0.0291 0.1091
I 0.4222 0.2687 0.8125
I 0.5778 0.7313 0.1875
I 0.6559 0.9709 0.8909
I 0.7313 0.1875 0.5778
I 0.8125 0.4222 0.2687
I 0.8909 0.6559 0.9709
I 0.9709 0.8909 0.6559

***

# 10
# CdSn2Mo

Crystalline CdSn2Mo at its relaxed geometry (PBE, the Open Quantum Materials Database).

Results
Electronic total energy   -4.25 eV/atom
Magnetic moment   2.2 Bohr magnetons per cell
Calculated density   8.498 g/cm³

Lattice parameters (Å, degrees): 4.9758 4.9758 4.9758 60.00 60.00 60.00
Fractional positions:
Cd 0.0000 0.0000 0.0000
Sn 0.2500 0.2500 0.2500
Sn 0.5000 0.5000 0.5000
Mo 0.7500 0.7500 0.7500

***

# 11
# NaHgF6

Crystalline NaHgF6 at its relaxed geometry (PBE, the Open Quantum Materials Database).

Results
Electronic total energy   -2.72 eV/atom
Calculated density   5.557 g/cm³

Lattice parameters (Å, degrees): 4.5762 5.0619 5.2082 91.15 113.52 111.58
Fractional positions:
Na 0.0000 0.0000 0.0000
Hg 0.0000 0.5000 0.5000
F 0.1820 0.2320 0.7094
F 0.2270 0.4837 0.2468
F 0.4171 0.8689 0.8045
F 0.5829 0.1311 0.1955
F 0.7730 0.5163 0.7532
F 0.8180 0.7680 0.2906

***

# 12
# Ba2Zr6BCl17

Crystalline Ba2Zr6BCl17 at its relaxed geometry (PBE, the Open Quantum Materials Database).

Results
Electronic total energy   -5.51 eV/atom
Magnetic moment   0.0 Bohr magnetons per cell
Calculated density   3.409 g/cm³

Lattice parameters (Å, degrees): 9.7428 9.7428 9.7428 105.26 105.26 118.27
Fractional positions:
Ba 0.2500 0.7500 0.5000
Ba 0.7500 0.2500 0.5000
Zr 0.0634 0.1846 0.2480
Zr 0.1846 0.9366 0.1211
Zr 0.2336 0.2336 0.0000
Zr 0.7664 0.7664 0.0000
Zr 0.8154 0.0634 0.8789
Zr 0.9366 0.8154 0.7520
B 0.0000 0.0000 0.0000
Cl 0.0483 0.3250 0.8635
Cl 0.1280 0.4047 0.5327
Cl 0.1342 0.7246 0.8588
Cl 0.1847 0.0483 0.7233
Cl 0.2754 0.1342 0.4095
Cl 0.3250 0.4614 0.2767
Cl 0.4047 0.8720 0.2767
Cl 0.4614 0.1847 0.1365
Cl 0.5000 0.5000 0.0000
Cl 0.5386 0.8153 0.8635
Cl 0.5953 0.1280 0.7233
Cl 0.6750 0.5386 0.7233
Cl 0.7246 0.8658 0.5905
Cl 0.8153 0.9517 0.2767
Cl 0.8658 0.2754 0.1412
Cl 0.8720 0.5953 0.4673
Cl 0.9517 0.6750 0.1365